1.
Sc3InI: relaxed, PBE.

- E_form (uncorrected): 0.2417 eV/atom
- Density of states at the Fermi level: 1.558 states/eV/atom
- V: 144.3 Å³/cell
- Polymorph energy (0 for the lowest one): 0 meV per atom

Unit cell a=5.2456 b=5.2456 c=5.2456 alpha=90.00 beta=90.00 gamma=90.00
Space group Pm-3m (No. 221)
Asymmetric unit:
Sc: 0.0000 0.0000 0.5000
In: 0.5000 0.5000 0.5000
I: 0.0000 0.0000 0.0000


2.
Sc2InI6: relaxed, PBE.

- E_form (uncorrected): -1.0066 eV/atom
- Density of states at the Fermi level: 0.648 states/eV/atom
- V: 378.7 Å³/cell

Unit cell a=7.4446 b=7.4446 c=7.8892 alpha=90.00 beta=90.00 gamma=120.00
Space group P-31m (No. 162)
Asymmetric unit:
Sc: 0.3333 0.6667 0.0000
In: 0.0000 0.0000 0.5000
I: 0.0000 0.3591 0.2165


3.
ScIn3I: relaxed, PBE.

- E_form (uncorrected): 0.7603 eV/atom
- Density of states at the Fermi level: 1.058 states/eV/atom
- V: 213.6 Å³/cell
- Polymorph energy (0 for the lowest one): 455 meV per atom

Unit cell a=5.9780 b=5.9780 c=5.9780 alpha=90.00 beta=90.00 gamma=90.00
Space group Pm-3m (No. 221)
Asymmetric unit:
Sc: 0.0000 0.0000 0.0000
In: 0.0000 0.5000 0.5000
I: 0.5000 0.5000 0.5000


4.
Sc2InI: relaxed, PBE.

- E_form (uncorrected): -0.1944 eV/atom
- Density of states at the Fermi level: 0.878 states/eV/atom
- V: 350.0 Å³/cell
- Polymorph energy (0 for the lowest one): 7 meV per atom

Unit cell a=3.6943 b=3.6943 c=29.6118 alpha=90.00 beta=90.00 gamma=120.00
Space group R-3m (No. 166, hexagonal axes)
Asymmetric unit:
Sc: 0.0000 0.0000 0.0935
In: 0.0000 0.0000 0.5000
I: 0.0000 0.0000 0.0000


5.
ScIn2I5: relaxed, PBE.

- E_form (uncorrected): -0.8063 eV/atom
- Density of states at the Fermi level: 0.000 states/eV/atom
- V: 811.9 Å³/cell
- Polymorph energy (0 for the lowest one): 0 meV per atom

Unit cell a=10.3347 b=12.5701 c=7.5702 alpha=90.00 beta=124.36 gamma=90.00
Space group Cm (No. 8)
Asymmetric unit:
Sc: 0.0000 0.0000 0.0000
In: 0.0706 0.2783 0.6516
I: 0.0121 0.0000 0.6448
I: 0.2087 0.5000 0.9548
I: 0.2955 0.0000 0.3783
I: 0.4793 0.2689 0.9973


6.
Sc2In2I: relaxed, PBE.

- E_form (uncorrected): -0.3634 eV/atom
- Density of states at the Fermi level: 0.398 states/eV/atom
- V: 259.1 Å³/cell

Unit cell a=7.5955 b=7.5955 c=4.4911 alpha=90.00 beta=90.00 gamma=90.00
Space group P4/mbm (No. 127)
Asymmetric unit:
Sc: 0.1548 0.3452 0.0000
In: 0.1428 0.6428 0.5000
I: 0.0000 0.0000 0.0000


7.
ScIn2I8: relaxed, PBE.

- E_form (uncorrected): -0.6926 eV/atom
- Density of states at the Fermi level: 0.403 states/eV/atom
- V: 1139.8 Å³/cell

Unit cell a=13.9892 b=11.2780 c=7.3514 alpha=90.00 beta=100.67 gamma=90.00
Space group C2/m (No. 12)
Asymmetric unit:
Sc: 0.0000 0.0000 0.0000
In: 0.1949 0.0000 0.6572
I: 0.0791 0.1822 0.7918
I: 0.1130 0.5000 0.1694
I: 0.1888 0.0000 0.2603


8.
Sc2InI: relaxed, PBE.

- E_form (uncorrected): -0.2018 eV/atom
- Density of states at the Fermi level: 0.687 states/eV/atom
- V: 394.6 Å³/cell
- Polymorph energy (0 for the lowest one): 0 meV per atom

Unit cell a=7.3345 b=7.3345 c=7.3345 alpha=90.00 beta=90.00 gamma=90.00
Space group Fm-3m (No. 225)
Asymmetric unit:
Sc: 0.2500 0.2500 0.2500
In: 0.0000 0.0000 0.0000
I: 0.0000 0.0000 0.5000


9.
ScIn2I5: relaxed, PBE.

- E_form (uncorrected): -0.7992 eV/atom
- Density of states at the Fermi level: 0.000 states/eV/atom
- V: 874.2 Å³/cell
- Polymorph energy (0 for the lowest one): 7 meV per atom

Unit cell a=15.1541 b=8.3000 c=8.2981 alpha=90.00 beta=123.11 gamma=90.00
Space group Cm (No. 8)
Asymmetric unit:
Sc: 0.0000 0.0000 0.0000
In: 0.1851 0.0000 0.6844
In: 0.1848 0.5000 0.1814
I: 0.0516 0.2373 0.8133
I: 0.0534 0.2376 0.2900
I: 0.2868 0.5000 0.7890


10.
SrScInI6: relaxed, PBE.

- E_form (uncorrected): -1.2027 eV/atom
- Density of states at the Fermi level: 0.000 states/eV/atom
- V: 827.8 Å³/cell

Unit cell a=8.0406 b=8.0406 c=14.7851 alpha=90.00 beta=90.00 gamma=120.00
Space group P-31c (No. 163)
Asymmetric unit:
Sr: 0.3333 0.6667 0.2500
Sc: 0.3333 0.6667 0.7500
In: 0.0000 0.0000 0.0000
I: 0.0356 0.3781 0.6337


11.
ScInTe2I: relaxed, PBE.

- E_form (uncorrected): -0.5511 eV/atom
- Density of states at the Fermi level: 0.890 states/eV/atom
- V: 184.3 Å³/cell
- Polymorph energy (0 for the lowest one): 0 meV per atom

Unit cell a=5.5699 b=5.5699 c=5.9400 alpha=90.00 beta=90.00 gamma=90.00
Space group P4/mmm (No. 123)
Asymmetric unit:
Sc: 0.0000 0.0000 0.0000
In: 0.5000 0.5000 0.5000
Te: 0.0000 0.5000 0.0000
I: 0.0000 0.0000 0.5000


12.
ScInTe2I: relaxed, PBE.

- E_form (uncorrected): 0.1783 eV/atom
- Density of states at the Fermi level: 1.071 states/eV/atom
- V: 184.3 Å³/cell
- Polymorph energy (0 for the lowest one): 729 meV per atom

Unit cell a=5.6851 b=5.6851 c=5.7017 alpha=90.00 beta=90.00 gamma=90.00
Space group P4/mmm (No. 123)
Asymmetric unit:
Sc: 0.0000 0.0000 0.0000
In: 0.5000 0.5000 0.5000
Te: 0.0000 0.5000 0.5000
I: 0.5000 0.5000 0.0000


13.
ScTl2InI6: relaxed, PBE.

- E_form (uncorrected): -0.8362 eV/atom
- Density of states at the Fermi level: 0.000 states/eV/atom
- V: 453.2 Å³/cell

Unit cell a=8.4914 b=8.4977 c=8.7512 alpha=60.99 beta=60.99 gamma=60.03
Space group P1 (No. 1)
Asymmetric unit:
Sc: 0.0000 0.0000 0.0000
Tl: 0.2023 0.2027 0.3921
Tl: 0.6911 0.6903 0.9275
In: 0.4928 0.4928 0.5218
I: 0.1125 0.3401 0.7566
I: 0.2289 0.8787 0.2237
I: 0.3402 0.7909 0.7564
I: 0.6689 0.2282 0.2242
I: 0.7902 0.1122 0.7569
I: 0.8787 0.6689 0.2242


14.
ScTlIn2I6: relaxed, PBE.

- E_form (uncorrected): -0.7944 eV/atom
- Density of states at the Fermi level: 0.000 states/eV/atom
- V: 452.7 Å³/cell

Unit cell a=8.4450 b=8.4520 c=8.7956 alpha=61.32 beta=61.31 gamma=60.04
Space group P1 (No. 1)
Asymmetric unit:
Sc: 0.0000 0.0000 0.0000
Tl: 0.5079 0.5077 0.4767
In: 0.3150 0.3154 0.0548
In: 0.8034 0.8037 0.5892
I: 0.1078 0.7727 0.7804
I: 0.2030 0.6503 0.2436
I: 0.3394 0.1078 0.7808
I: 0.6498 0.9034 0.2433
I: 0.7728 0.3391 0.7805
I: 0.9032 0.2030 0.2438


15.
In12Se5I3: relaxed, PBE.

- E_form (uncorrected): -0.1657 eV/atom
- Density of states at the Fermi level: 0.182 states/eV/atom
- V: 6508.2 Å³/cell

Unit cell a=18.6704 b=18.6704 c=18.6704 alpha=90.00 beta=90.00 gamma=90.00
Space group Ia-3d (No. 230)
Asymmetric unit:
In: 0.0189 0.0624 0.6539
Se: 0.0000 0.0000 0.0000
Se: 0.0000 0.2500 0.3750
I: 0.0000 0.2500 0.1250


16.
In2SeI: relaxed, PBE.

- E_form (uncorrected): -0.3490 eV/atom
- Density of states at the Fermi level: 0.716 states/eV/atom
- V: 390.4 Å³/cell
- Polymorph energy (0 for the lowest one): 47 meV per atom

Unit cell a=4.3159 b=4.3159 c=24.2013 alpha=90.00 beta=90.00 gamma=120.00
Space group R3m (No. 160, hexagonal axes)
Asymmetric unit:
In: 0.0000 0.0000 0.0000
In: 0.0000 0.0000 0.1943
Se: 0.0000 0.0000 0.6011
I: 0.0000 0.0000 0.4247


17.
In2Se3I: relaxed, PBE.

- E_form (uncorrected): -0.2303 eV/atom
- Density of states at the Fermi level: 0.159 states/eV/atom
- V: 692.3 Å³/cell

Unit cell a=7.7592 b=12.2144 c=7.3045 alpha=90.00 beta=90.14 gamma=90.00
Space group C2/m (No. 12)
Asymmetric unit:
In: 0.0000 0.1967 0.0000
In: 0.0000 0.1981 0.5000
Se: 0.0479 0.0000 0.2505
Se: 0.2124 0.3122 0.2499
I: 0.1219 0.5000 0.7502


18.
In2SeI: relaxed, PBE.

- E_form (uncorrected): -0.1690 eV/atom
- Density of states at the Fermi level: 0.653 states/eV/atom
- V: 471.1 Å³/cell
- Polymorph energy (0 for the lowest one): 227 meV per atom

Unit cell a=7.7810 b=7.7810 c=7.7810 alpha=90.00 beta=90.00 gamma=90.00
Space group Fm-3m (No. 225)
Asymmetric unit:
In: 0.2500 0.2500 0.2500
Se: 0.0000 0.0000 0.0000
I: 0.0000 0.0000 0.5000


19.
In3SeI: relaxed, PBE.

- E_form (uncorrected): 0.3966 eV/atom
- Density of states at the Fermi level: 0.005 states/eV/atom
- V: 248.7 Å³/cell
- Polymorph energy (0 for the lowest one): 712 meV per atom

Unit cell a=6.2887 b=6.2887 c=6.2887 alpha=90.00 beta=90.00 gamma=90.00
Space group Pm-3m (No. 221)
Asymmetric unit:
In: 0.0000 0.0000 0.5000
Se: 0.5000 0.5000 0.5000
I: 0.0000 0.0000 0.0000


20.
In2SeI: relaxed, PBE.

- E_form (uncorrected): -0.3697 eV/atom
- Density of states at the Fermi level: 0.536 states/eV/atom
- V: 390.3 Å³/cell
- Polymorph energy (0 for the lowest one): 26 meV per atom

Unit cell a=4.4589 b=4.4589 c=22.6657 alpha=90.00 beta=90.00 gamma=120.00
Space group R-3m (No. 166, hexagonal axes)
Asymmetric unit:
In: 0.0000 0.0000 0.2357
Se: 0.0000 0.0000 0.5000
I: 0.0000 0.0000 0.0000